Record 1
Entry from Alexandria via LeMat-Bulk: a relaxed structure of Ba2MgCo2 (PBE).

Lattice parameters (Å, degrees): 7.804 7.804 4.743 90.00 90.00 90.00
Site moments in Bohr magnetons follow the coordinates.
Atoms (fractional coordinates):
1 Co 0.901 0.599 0.000  1.53
2 Co 0.401 0.901 0.000  1.54
3 Co 0.599 0.099 0.000  1.54
4 Co 0.099 0.401 0.000  1.53
5 Ba 0.319 0.181 0.500  -0.08
6 Ba 0.681 0.819 0.500  -0.08
7 Ba 0.819 0.319 0.500  -0.08
8 Ba 0.181 0.681 0.500  -0.08
9 Mg 0.500 0.500 0.000  -0.01
10 Mg 0.000 0.000 0.000  -0.01

symmetry: P4/mbm, No. 127

Record 2
Entry from Alexandria via LeMat-Bulk: a relaxed structure of BaMg2Co (PBE).

Lattice parameters (Å, degrees): 4.217 5.517 5.503 62.55 90.00 90.00
Site moments in Bohr magnetons follow the coordinates.
Atoms (fractional coordinates):
1 Ba 0.500 0.250 0.250  -0.03
2 Co 0.500 0.750 0.750  0.58
3 Mg 0.000 0.912 0.910  -0.01
4 Mg 0.000 0.588 0.590  -0.01

symmetry: P2/m, No. 10

| no. | density of states at the Fermi level (states/eV per atom) | energy of formation from the pure elements (meV per atom) |
| --- | --- | --- |
| 1 | 1.36 | 373 |
| 2 | 0.96 | 308 |